No. 1
Here is a crystal of Ca2WNCl relaxed with PBEsol from Alexandria. Energies are from meta-GGA SCAN.

Cell lengths 5.250, 5.250, 3.989 Å; angles 90.00, 90.00, 90.00 degrees
Element x y z (fractional)
Ca1 0.000 0.500 0.000
Ca2 0.500 0.000 0.000
W1 0.000 0.000 0.500
N1 0.500 0.500 0.500
Cl1 0.500 0.500 0.000

Properties
For the uncorrected formation energy, the calculation gives 1.2148 eV/atom. The energy comes out at -100.2 eV per cell. As for the magnetization: 0.8698 μB per atom. As for the space group: P4/mmm. Its crystal system is tetragonal. The calculation puts the density of states at the Fermi level at 2.794 states/eV/cell. For the volume, the calculation gives 109.97 Å³ per cell.



No. 2
Here is a crystal of CaZnNCl2 relaxed with PBEsol from Alexandria. Energies are from meta-GGA SCAN.

Cell lengths 5.286, 5.286, 4.685 Å; angles 90.00, 90.00, 90.00 degrees
Element x y z (fractional)
Ca1 0.000 0.000 0.000
Zn1 0.500 0.500 0.500
N1 0.000 0.000 0.500
Cl1 0.000 0.500 0.000
Cl2 0.500 0.000 0.000

Properties
For the uncorrected formation energy, the calculation gives -0.3108 eV/atom. The energy comes out at -50.0 eV per cell. As for the magnetization: 0.3332 μB per atom. As for the space group: P4/mmm. Its crystal system is tetragonal. The calculation puts the density of states at the Fermi level at 1.608 states/eV/cell. For the volume, the calculation gives 130.89 Å³ per cell.



No. 3
Here is a crystal of NaCa2Cl relaxed with PBEsol from Alexandria. Energies are from meta-GGA SCAN.

Cell lengths 8.034, 8.034, 8.034 Å; angles 90.00, 90.00, 90.00 degrees
Element x y z (fractional)
Na1 0.000 0.000 0.000
Na2 0.000 0.500 0.500
Na3 0.500 0.000 0.500
Na4 0.500 0.500 0.000
Ca1 0.250 0.250 0.250
Ca2 0.250 0.250 0.750
Ca3 0.250 0.750 0.250
Ca4 0.250 0.750 0.750
Ca5 0.750 0.250 0.250
Ca6 0.750 0.250 0.750
Ca7 0.750 0.750 0.250
Ca8 0.750 0.750 0.750
Cl1 0.000 0.000 0.500
Cl2 0.000 0.500 0.000
Cl3 0.500 0.000 0.000
Cl4 0.500 0.500 0.500

Properties
For the uncorrected formation energy, the calculation gives -0.3349 eV/atom. The energy comes out at -131.4 eV per cell. As for the magnetization: 0.0000 μB per atom. As for the space group: Fm-3m. Its crystal system is cubic. The calculation puts the density of states at the Fermi level at 13.433 states/eV/cell. For the volume, the calculation gives 518.61 Å³ per cell.



No. 4
Here is a crystal of NaCaP2Cl relaxed with PBEsol from Alexandria. Energies are from meta-GGA SCAN.

Cell lengths 5.392, 5.392, 5.253 Å; angles 90.00, 90.00, 90.00 degrees
Element x y z (fractional)
Na1 0.000 0.000 0.000
Ca1 0.500 0.500 0.500
P1 0.000 0.500 0.500
P2 0.500 0.000 0.500
Cl1 0.500 0.500 0.000

Properties
For the uncorrected formation energy, the calculation gives -0.1848 eV/atom. The energy comes out at -43.6 eV per cell. As for the magnetization: 0.4414 μB per atom. As for the space group: P4/mmm. Its crystal system is tetragonal. The calculation puts the density of states at the Fermi level at 2.045 states/eV/cell. For the volume, the calculation gives 152.75 Å³ per cell.



No. 5
Here is a crystal of CaNbP2Cl relaxed with PBEsol from Alexandria. Energies are from meta-GGA SCAN.

Cell lengths 4.819, 4.819, 4.851 Å; angles 90.00, 90.00, 90.00 degrees
Element x y z (fractional)
Ca1 0.000 0.000 0.000
Nb1 0.500 0.500 0.500
P1 0.000 0.500 0.500
P2 0.500 0.000 0.500
Cl1 0.500 0.500 0.000

Properties
For the uncorrected formation energy, the calculation gives -0.7146 eV/atom. The energy comes out at -75.1 eV per cell. As for the magnetization: 0.0000 μB per atom. As for the space group: P4/mmm. Its crystal system is tetragonal. The calculation puts the density of states at the Fermi level at 2.247 states/eV/cell. For the volume, the calculation gives 112.65 Å³ per cell.



No. 6
Here is a crystal of CaNiCl3 relaxed with PBEsol from Alexandria. Energies are from meta-GGA SCAN.

Cell lengths 5.188, 5.188, 5.188 Å; angles 90.00, 90.00, 90.00 degrees
Element x y z (fractional)
Ca1 0.000 0.000 0.000
Ni1 0.500 0.500 0.500
Cl1 0.000 0.000 0.500
Cl2 0.000 0.500 0.000
Cl3 0.500 0.000 0.000

Properties
For the uncorrected formation energy, the calculation gives -0.9123 eV/atom. The energy comes out at -54.3 eV per cell. As for the magnetization: 0.2083 μB per atom. As for the space group: Pm-3m. Its crystal system is cubic. The calculation puts the density of states at the Fermi level at 12.041 states/eV/cell. For the volume, the calculation gives 139.61 Å³ per cell.



No. 7
Here is a crystal of CaNiSbCl2 relaxed with PBEsol from Alexandria. Energies are from meta-GGA SCAN.

Cell lengths 4.898, 4.898, 5.816 Å; angles 90.00, 90.00, 90.00 degrees
Element x y z (fractional)
Ca1 0.000 0.000 0.000
Ni1 0.000 0.000 0.500
Sb1 0.500 0.500 0.500
Cl1 0.000 0.500 0.000
Cl2 0.500 0.000 0.000

Properties
For the uncorrected formation energy, the calculation gives -0.2824 eV/atom. The energy comes out at -80.5 eV per cell. As for the magnetization: 0.0905 μB per atom. As for the space group: P4/mmm. Its crystal system is tetragonal. The calculation puts the density of states at the Fermi level at 3.072 states/eV/cell. For the volume, the calculation gives 139.51 Å³ per cell.



No. 8
Here is a crystal of Ca2ClO relaxed with PBEsol from Alexandria. Energies are from meta-GGA SCAN.

Cell lengths 5.986, 5.986, 10.624 Å; angles 90.00, 90.00, 90.00 degrees
Element x y z (fractional)
Ca1 0.169 0.750 0.125
Ca2 0.250 0.169 0.875
Ca3 0.250 0.331 0.375
Ca4 0.331 0.750 0.625
Ca5 0.669 0.250 0.625
Ca6 0.750 0.669 0.375
Ca7 0.750 0.831 0.875
Ca8 0.831 0.250 0.125
Cl1 0.000 0.000 0.500
Cl2 0.000 0.500 0.750
Cl3 0.500 0.000 0.250
Cl4 0.500 0.500 0.000
O1 0.000 0.000 0.000
O2 0.000 0.500 0.250
O3 0.500 0.000 0.750
O4 0.500 0.500 0.500

Properties
For the uncorrected formation energy, the calculation gives -2.3077 eV/atom. The energy comes out at -171.1 eV per cell. As for the magnetization: 0.1981 μB per atom. As for the space group: I-42d. Its crystal system is tetragonal. The calculation puts the density of states at the Fermi level at 7.444 states/eV/cell. For the volume, the calculation gives 380.66 Å³ per cell.



No. 9
Here is a crystal of Ca5P3ClO12 relaxed with PBEsol from Alexandria. Energies are from meta-GGA SCAN.

Cell lengths 9.687, 9.687, 6.648 Å; angles 90.00, 90.00, 120.00 degrees
Element x y z (fractional)
Ca1 0.018 0.755 0.250
Ca2 0.245 0.263 0.250
Ca3 0.263 0.018 0.750
Ca4 0.333 0.667 0.504
Ca5 0.333 0.667 0.996
Ca6 0.667 0.333 0.004
Ca7 0.667 0.333 0.496
Ca8 0.737 0.982 0.250
Ca9 0.755 0.737 0.750
Ca10 0.982 0.245 0.750
P1 0.032 0.411 0.250
P2 0.379 0.968 0.250
P3 0.411 0.379 0.750
P4 0.589 0.621 0.250
P5 0.621 0.032 0.750
P6 0.968 0.589 0.750
Cl1 0.000 0.000 0.000
Cl2 0.000 0.000 0.500
O1 0.086 0.354 0.063
O2 0.086 0.354 0.437
O3 0.132 0.597 0.250
O4 0.147 0.648 0.750
O5 0.269 0.914 0.063
O6 0.269 0.914 0.437
O7 0.352 0.500 0.750
O8 0.354 0.269 0.563
O9 0.354 0.269 0.937
O10 0.403 0.534 0.250
O11 0.466 0.868 0.250
O12 0.500 0.147 0.250
O13 0.500 0.853 0.750
O14 0.534 0.132 0.750
O15 0.597 0.466 0.750
O16 0.646 0.731 0.063
O17 0.646 0.731 0.437
O18 0.648 0.500 0.250
O19 0.731 0.086 0.563
O20 0.731 0.086 0.937
O21 0.853 0.352 0.250
O22 0.868 0.403 0.750
O23 0.914 0.646 0.563
O24 0.914 0.646 0.937

Properties
For the uncorrected formation energy, the calculation gives -3.1900 eV/atom. The energy comes out at -458.5 eV per cell. As for the magnetization: 0.0000 μB per atom. As for the space group: P6_3/m. Its crystal system is hexagonal. The calculation puts the density of states at the Fermi level at 0.000 states/eV/cell. For the volume, the calculation gives 540.30 Å³ per cell.



No. 10
Here is a crystal of Ca2P3Pb3ClO12 relaxed with PBEsol from Alexandria. Energies are from meta-GGA SCAN.

Cell lengths 9.832, 9.832, 7.043 Å; angles 90.00, 90.00, 120.00 degrees
Element x y z (fractional)
Ca1 0.333 0.667 0.006
Ca2 0.333 0.667 0.494
Ca3 0.667 0.333 0.506
Ca4 0.667 0.333 0.994
P1 0.034 0.612 0.750
P2 0.388 0.422 0.750
P3 0.422 0.034 0.250
P4 0.578 0.966 0.750
P5 0.612 0.578 0.250
P6 0.966 0.388 0.250
Pb1 0.014 0.258 0.750
Pb2 0.243 0.986 0.750
Pb3 0.258 0.243 0.250
Pb4 0.742 0.757 0.750
Pb5 0.757 0.014 0.250
Pb6 0.986 0.742 0.250
Cl1 0.000 0.000 0.000
Cl2 0.000 0.000 0.500
O1 0.085 0.720 0.572
O2 0.085 0.720 0.928
O3 0.140 0.535 0.750
O4 0.142 0.513 0.250
O5 0.280 0.365 0.572
O6 0.280 0.365 0.928
O7 0.365 0.085 0.072
O8 0.365 0.085 0.428
O9 0.371 0.858 0.250
O10 0.394 0.860 0.750
O11 0.465 0.606 0.750
O12 0.487 0.629 0.250
O13 0.513 0.371 0.750
O14 0.535 0.394 0.250
O15 0.606 0.140 0.250
O16 0.629 0.142 0.750
O17 0.635 0.915 0.572
O18 0.635 0.915 0.928
O19 0.720 0.635 0.072
O20 0.720 0.635 0.428
O21 0.858 0.487 0.750
O22 0.860 0.465 0.250
O23 0.915 0.280 0.072
O24 0.915 0.280 0.428

Properties
For the uncorrected formation energy, the calculation gives -2.5070 eV/atom. The energy comes out at -826.5 eV per cell. As for the magnetization: 0.0000 μB per atom. As for the space group: P6_3/m. Its crystal system is hexagonal. The calculation puts the density of states at the Fermi level at 0.000 states/eV/cell. For the volume, the calculation gives 589.68 Å³ per cell.



No. 11
Here is a crystal of Ca4Si6Pb6Cl2O21 relaxed with PBEsol from Alexandria. Energies are from meta-GGA SCAN.

Cell lengths 10.105, 10.105, 13.245 Å; angles 90.00, 90.00, 120.00 degrees
Element x y z (fractional)
Ca1 0.333 0.667 0.007
Ca2 0.333 0.667 0.250
Ca3 0.333 0.667 0.493
Ca4 0.333 0.667 0.750
Ca5 0.667 0.333 0.250
Ca6 0.667 0.333 0.507
Ca7 0.667 0.333 0.750
Ca8 0.667 0.333 0.993
Si1 0.027 0.604 0.636
Si2 0.027 0.604 0.864
Si3 0.396 0.423 0.636
Si4 0.396 0.423 0.864
Si5 0.423 0.027 0.136
Si6 0.423 0.027 0.364
Si7 0.577 0.973 0.636
Si8 0.577 0.973 0.864
Si9 0.604 0.577 0.136
Si10 0.604 0.577 0.364
Si11 0.973 0.396 0.136
Si12 0.973 0.396 0.364
Pb1 0.010 0.265 0.609
Pb2 0.010 0.265 0.891
Pb3 0.255 0.990 0.609
Pb4 0.255 0.990 0.891
Pb5 0.265 0.255 0.109
Pb6 0.265 0.255 0.391
Pb7 0.735 0.745 0.609
Pb8 0.735 0.745 0.891
Pb9 0.745 0.010 0.109
Pb10 0.745 0.010 0.391
Pb11 0.990 0.735 0.109
Pb12 0.990 0.735 0.391
Cl1 0.000 0.000 0.000
Cl2 0.000 0.000 0.250
Cl3 0.000 0.000 0.500
Cl4 0.000 0.000 0.750
O1 0.074 0.688 0.750
O2 0.075 0.745 0.555
O3 0.075 0.745 0.945
O4 0.143 0.535 0.621
O5 0.143 0.535 0.879
O6 0.149 0.527 0.128
O7 0.149 0.527 0.372
O8 0.255 0.330 0.555
O9 0.255 0.330 0.945
O10 0.312 0.386 0.750
O11 0.330 0.075 0.055
O12 0.330 0.075 0.445
O13 0.378 0.851 0.128
O14 0.378 0.851 0.372
O15 0.386 0.074 0.250
O16 0.392 0.857 0.621
O17 0.392 0.857 0.879
O18 0.465 0.608 0.621
O19 0.465 0.608 0.879
O20 0.473 0.622 0.128
O21 0.473 0.622 0.372
O22 0.527 0.378 0.628
O23 0.527 0.378 0.872
O24 0.535 0.392 0.121
O25 0.535 0.392 0.379
O26 0.608 0.143 0.121
O27 0.608 0.143 0.379
O28 0.614 0.926 0.750
O29 0.622 0.149 0.628
O30 0.622 0.149 0.872
O31 0.670 0.925 0.555
O32 0.670 0.925 0.945
O33 0.688 0.614 0.250
O34 0.745 0.670 0.055
O35 0.745 0.670 0.445
O36 0.851 0.473 0.628
O37 0.851 0.473 0.872
O38 0.857 0.465 0.121
O39 0.857 0.465 0.379
O40 0.925 0.255 0.055
O41 0.925 0.255 0.445
O42 0.926 0.312 0.250

Properties
For the uncorrected formation energy, the calculation gives -2.5977 eV/atom. The energy comes out at -1603.1 eV per cell. As for the magnetization: 0.0000 μB per atom. As for the space group: P6_3/m. Its crystal system is hexagonal. The calculation puts the density of states at the Fermi level at 0.000 states/eV/cell. For the volume, the calculation gives 1171.21 Å³ per cell.



No. 12
Here is a crystal of CaSCl2O relaxed with PBEsol from Alexandria. Energies are from meta-GGA SCAN.

Cell lengths 5.218, 5.218, 5.643 Å; angles 90.00, 90.00, 90.00 degrees
Element x y z (fractional)
Ca1 0.000 0.000 0.000
S1 0.000 0.000 0.500
Cl1 0.000 0.500 0.000
Cl2 0.500 0.000 0.000
O1 0.500 0.500 0.500

Properties
For the uncorrected formation energy, the calculation gives -0.3459 eV/atom. The energy comes out at -43.2 eV per cell. As for the magnetization: 0.8019 μB per atom. As for the space group: P4/mmm. Its crystal system is tetragonal. The calculation puts the density of states at the Fermi level at 6.796 states/eV/cell. For the volume, the calculation gives 153.63 Å³ per cell.